Here is an optimized crystal structure of TaRe2WN from the Alexandria database. Energies are from PBEsol.

Cell lengths 4.0530, 4.0530, 4.1644 Å; angles 90.00, 90.00, 90.00 degrees
Closest atoms and distances in Å follow each position.
Space group P4/mmm (No. 123)
Symmetry-distinct sites (fractional):
Ta  0.0000  0.0000  0.0000 [1 per cell]  2 N 2.08
Re  0.0000  0.5000  0.5000 [2 per cell]  2 N 2.03
W  0.5000  0.5000  0.0000 [1 per cell]  4 Ta 2.87, 8 Re 2.91
N  0.0000  0.0000  0.5000 [1 per cell]  4 Re 2.03, 2 Ta 2.08

Values from the calculation:
- Crystal system: tetragonal
- Formation energy without anion corrections: -49 meV per atom

---

Here is an optimized crystal structure of ReTeOF2 from the Alexandria database. Energies are from PBEsol.

Cell lengths 4.6446, 4.6446, 4.0887 Å; angles 90.00, 90.00, 90.00 degrees
Closest atoms and distances in Å follow each position.
Space group P4/mmm (No. 123)
Symmetry-distinct sites (fractional):
Re  0.0000  0.0000  0.0000 [1 per cell]  8 F 3.09, 4 O 3.28
Te  0.5000  0.5000  0.5000 [1 per cell]  2 O 2.04
O  0.5000  0.5000  0.0000 [1 per cell]  2 Te 2.04
F  0.0000  0.5000  0.5000 [2 per cell]  2 Te 2.32

Values from the calculation:
- Crystal system: tetragonal
- Formation energy without anion corrections: 358 meV per atom

---

Here is an optimized crystal structure of CoMo2Cl from the Alexandria database. Energies are from PBEsol.

Cell lengths 3.0968, 3.0035, 6.7416 Å; angles 90.00, 92.78, 90.00 degrees
Closest atoms and distances in Å follow each position.
Space group Pm (No. 6)
Symmetry-distinct sites (fractional):
Co  0.0000  0.0000  0.0000 [1 per cell]  4 Mo 2.46-2.48, 2 Cl 2.47
Mo  0.0220  0.0000  0.5901 [1 per cell]  2 Cl 2.51, 4 Mo 2.54-2.79, 1 Co 2.77
Mo  0.4749  0.5000  0.8207 [1 per cell]  4 Co 2.46-2.48, 2 Mo 2.54
Cl  0.0156  0.5000  0.2910 [1 per cell]  2 Co 2.47, 2 Mo 2.51

Values from the calculation:
- Crystal system: monoclinic
- E above lowest polymorph: 0.0 meV/atom
- Formation energy without anion corrections: 274 meV per atom

---

Here is an optimized crystal structure of Hg2OsRh from the Alexandria database. Energies are from PBEsol.

Cell lengths 2.8524, 4.7476, 4.9290 Å; angles 90.00, 90.00, 90.00 degrees
Closest atoms and distances in Å follow each position.
Space group Pmmm (No. 47)
Symmetry-distinct sites (fractional):
Hg  0.0000  0.0000  0.0000 [1 per cell]  4 Rh 2.77, 6 Hg 2.85
Hg  0.5000  0.0000  0.5000 [1 per cell]  4 Os 2.77, 6 Hg 2.85
Os  0.0000  0.5000  0.5000 [1 per cell]  4 Hg 2.77, 4 Rh 2.85, 2 Os 2.85
Rh  0.5000  0.5000  0.0000 [1 per cell]  4 Hg 2.77, 4 Os 2.85, 2 Rh 2.85

Values from the calculation:
- Energy of formation from the pure elements: 0.654 eV/atom
- Crystal system: orthorhombic

---

Here is an optimized crystal structure of BaCd2Sb from the Alexandria database. Energies are from PBEsol.

Cell lengths 4.9158, 4.9158, 9.5492 Å; angles 90.00, 90.00, 90.00 degrees
Closest atoms and distances in Å follow each position.
Space group I4/mmm (No. 139)
Symmetry-distinct sites (fractional):
Ba  0.0000  0.0000  0.0000 [2 per cell]  8 Cd 3.43, 4 Sb 3.48
Cd  0.0000  0.5000  0.2500 [4 per cell]  4 Ba 3.43, 4 Sb 3.43, 4 Cd 3.48
Sb  0.0000  0.0000  0.5000 [2 per cell]  8 Cd 3.43, 4 Ba 3.48

Values from the calculation:
- Crystal system: tetragonal
- Formation energy without anion corrections: -341 meV per atom

---

Here is an optimized crystal structure of SOF2 from the Alexandria database. Energies are from PBEsol.

Cell lengths 3.3075, 3.3075, 14.3193 Å; angles 90.00, 90.00, 90.00 degrees
Closest atoms and distances in Å follow each position.
Space group I-42d (No. 122)
Symmetry-distinct sites (fractional):
S  0.0000  0.0000  0.0000 [4 per cell]  4 F 2.10, 4 O 2.34
O  0.0000  0.0000  0.5000 [4 per cell]  4 F 2.18, 4 S 2.34
F  0.2211  0.2500  0.1250 [8 per cell]  2 S 2.10, 2 O 2.18, 2 F 2.21

Values from the calculation:
- Crystal system: tetragonal
- E above lowest polymorph: 1833.5 meV/atom
- Formation energy without anion corrections: 247 meV per atom